(1)
A relaxed structure of Pm6Y2ErMg, computed with GGA-PBE.

```
data_Pm6Y2ErMg
_symmetry_space_group_name_H-M 'C 1 2/c 1'
_symmetry_Int_Tables_number 15
_symmetry_space_group_name_Hall '-C 2yc'
_cell_length_a 9.285
_cell_length_b 16.020
_cell_length_c 8.871
_cell_angle_alpha 90.00
_cell_angle_beta 92.08
_cell_angle_gamma 90.00
loop_
_atom_site_label
_atom_site_type_symbol
_atom_site_fract_x
_atom_site_fract_y
_atom_site_fract_z
_atom_site_occupancy
Pm1 Pm 0.043 0.159 0.448 1
Pm2 Pm 0.098 0.363 0.590 1
Pm3 Pm 0.247 0.291 0.197 1
Y1 Y 0.233 0.455 0.951 1
Er1 Er 0.000 0.035 0.750 1
Mg1 Mg 0.000 0.444 0.250 1
```

As for the total energy: -185.644 eV/cell. The total magnetic moment comes out at 0.00 Bohr magnetons per cell. The volume comes out at 33.0 A^3/atom. The calculation puts the density at 6.24 g/cm3.

(2)
A relaxed structure of Li2MgSiH, computed with GGA-PBE.

```
data_Li2MgSiH
_symmetry_space_group_name_H-M 'P 4/m m m'
_symmetry_Int_Tables_number 123
_symmetry_space_group_name_Hall '-P 4 2'
_cell_length_a 3.922
_cell_length_b 3.922
_cell_length_c 4.346
_cell_angle_alpha 90.00
_cell_angle_beta 90.00
_cell_angle_gamma 90.00
loop_
_atom_site_label
_atom_site_type_symbol
_atom_site_fract_x
_atom_site_fract_y
_atom_site_fract_z
_atom_site_occupancy
Li1 Li 0.000 0.500 0.000 1
Mg1 Mg 0.000 0.000 0.500 1
Si1 Si 0.500 0.500 0.500 1
H1 H 0.000 0.000 0.000 1
```

As for the total energy: -15.099 eV/cell. The total magnetic moment comes out at 0.00 Bohr magnetons per cell. The volume comes out at 13.4 A^3/atom. The calculation puts the density at 1.67 g/cm3.

(3)
A relaxed structure of BaMgTl2, computed with GGA-PBE.

```
data_BaMgTl2
_symmetry_space_group_name_H-M 'P 4/m m m'
_symmetry_Int_Tables_number 123
_symmetry_space_group_name_Hall '-P 4 2'
_cell_length_a 3.892
_cell_length_b 3.892
_cell_length_c 8.153
_cell_angle_alpha 90.00
_cell_angle_beta 90.00
_cell_angle_gamma 90.00
loop_
_atom_site_label
_atom_site_type_symbol
_atom_site_fract_x
_atom_site_fract_y
_atom_site_fract_z
_atom_site_occupancy
Ba1 Ba 0.000 0.000 0.000 1
Mg1 Mg 0.000 0.000 0.500 1
Tl1 Tl 0.500 0.500 0.298 1
```

As for the total energy: -9.229 eV/cell. The total magnetic moment comes out at 0.00 Bohr magnetons per cell. The volume comes out at 30.9 A^3/atom. The calculation puts the density at 7.67 g/cm3.

(4)
A relaxed structure of BC5, computed with GGA-PBE.

```
data_BC5
_symmetry_space_group_name_H-M 'P -1'
_symmetry_Int_Tables_number 2
_symmetry_space_group_name_Hall '-P 1'
_cell_length_a 3.623
_cell_length_b 3.629
_cell_length_c 5.836
_cell_angle_alpha 89.61
_cell_angle_beta 72.05
_cell_angle_gamma 88.78
loop_
_atom_site_label
_atom_site_type_symbol
_atom_site_fract_x
_atom_site_fract_y
_atom_site_fract_z
_atom_site_occupancy
B1 B 0.107 0.337 0.109 1
C1 C 0.084 0.129 0.579 1
C2 C 0.249 0.634 0.256 1
C3 C 0.262 0.878 0.743 1
C4 C 0.416 0.375 0.420 1
C5 C 0.425 0.126 0.900 1
```

The total magnetic moment comes out at 0.00 Bohr magnetons per cell. The volume comes out at 6.1 A^3/atom. The calculation puts the excess energy over the best structure of this formula in the dataset at 49.5 meV/atom. The calculation puts the density at 3.22 g/cm3.

(5)
A relaxed structure of CoWBr2, computed with GGA-PBE.

```
data_CoWBr2
_symmetry_space_group_name_H-M 'I m m m'
_symmetry_Int_Tables_number 71
_symmetry_space_group_name_Hall '-I 2 2'
_cell_length_a 3.163
_cell_length_b 3.908
_cell_length_c 15.445
_cell_angle_alpha 90.00
_cell_angle_beta 90.00
_cell_angle_gamma 90.00
loop_
_atom_site_label
_atom_site_type_symbol
_atom_site_fract_x
_atom_site_fract_y
_atom_site_fract_z
_atom_site_occupancy
Co1 Co 0.000 0.000 0.000 1
W1 W 0.000 0.000 0.500 1
Br1 Br 0.000 0.500 0.138 1
```

The total magnetic moment comes out at 1.78 Bohr magnetons per cell. The volume comes out at 23.9 A^3/atom. The calculation puts the excess energy over the best structure of this formula in the dataset at 269.6 meV/atom. For the uncorrected formation energy, the calculation gives 452 meV/atom. The calculation puts the density at 7.00 g/cm3.

(6)
A relaxed structure of RbMg2B, computed with GGA-PBE.

```
data_RbMg2B
_symmetry_space_group_name_H-M 'P 1'
_symmetry_Int_Tables_number 1
_symmetry_space_group_name_Hall 'P 1'
_cell_length_a 5.687
_cell_length_b 5.868
_cell_length_c 7.493
_cell_angle_alpha 94.07
_cell_angle_beta 103.47
_cell_angle_gamma 90.38
loop_
_atom_site_label
_atom_site_type_symbol
_atom_site_fract_x
_atom_site_fract_y
_atom_site_fract_z
_atom_site_occupancy
Rb1 Rb 0.000 0.000 0.000 1
Rb2 Rb 0.480 0.503 0.864 1
Mg1 Mg 0.378 0.983 0.479 1
Mg2 Mg 0.439 0.490 0.329 1
Mg3 Mg 0.893 0.180 0.476 1
Mg4 Mg 0.949 0.668 0.438 1
B1 B 0.539 0.120 0.235 1
B2 B 0.617 0.869 0.268 1
```

As for the total energy: -18.927 eV/cell. The total magnetic moment comes out at 0.00 Bohr magnetons per cell. The volume comes out at 30.3 A^3/atom. The calculation puts the density at 1.98 g/cm3.

(7)
A relaxed structure of YSnAs2Ir, computed with GGA-PBE.

```
data_YSnAs2Ir
_symmetry_space_group_name_H-M 'P 4/m m m'
_symmetry_Int_Tables_number 123
_symmetry_space_group_name_Hall '-P 4 2'
_cell_length_a 5.025
_cell_length_b 5.025
_cell_length_c 5.694
_cell_angle_alpha 90.00
_cell_angle_beta 90.00
_cell_angle_gamma 90.00
loop_
_atom_site_label
_atom_site_type_symbol
_atom_site_fract_x
_atom_site_fract_y
_atom_site_fract_z
_atom_site_occupancy
Y1 Y 0.000 0.000 0.000 1
Sn1 Sn 0.000 0.000 0.500 1
As1 As 0.000 0.500 0.500 1
Ir1 Ir 0.500 0.500 0.000 1
```

As for the total energy: -22.461 eV/cell. The total magnetic moment comes out at 1.14 Bohr magnetons per cell. The volume comes out at 28.8 A^3/atom. The calculation puts the density at 6.35 g/cm3.

(8)
A relaxed structure of AcMnC, computed with GGA-PBE.

```
data_AcMnC
_symmetry_space_group_name_H-M 'C m c m'
_symmetry_Int_Tables_number 63
_symmetry_space_group_name_Hall '-C 2c 2'
_cell_length_a 5.486
_cell_length_b 10.798
_cell_length_c 3.803
_cell_angle_alpha 90.00
_cell_angle_beta 90.00
_cell_angle_gamma 90.00
loop_
_atom_site_label
_atom_site_type_symbol
_atom_site_fract_x
_atom_site_fract_y
_atom_site_fract_z
_atom_site_occupancy
Ac1 Ac 0.000 0.152 0.250 1
Mn1 Mn 0.000 0.430 0.250 1
C1 C 0.000 0.393 0.750 1
```

The total magnetic moment comes out at 2.22 Bohr magnetons per cell. The volume comes out at 18.8 A^3/atom. The calculation puts the excess energy over the best structure of this formula in the dataset at 0.8 meV/atom. The calculation puts the density at 8.67 g/cm3.

(9)
A relaxed structure of Cs2TiBeH, computed with GGA-PBE.

```
data_Cs2TiBeH
_symmetry_space_group_name_H-M 'P 4/m m m'
_symmetry_Int_Tables_number 123
_symmetry_space_group_name_Hall '-P 4 2'
_cell_length_a 6.753
_cell_length_b 6.753
_cell_length_c 4.759
_cell_angle_alpha 90.00
_cell_angle_beta 90.00
_cell_angle_gamma 90.00
loop_
_atom_site_label
_atom_site_type_symbol
_atom_site_fract_x
_atom_site_fract_y
_atom_site_fract_z
_atom_site_occupancy
Cs1 Cs 0.000 0.500 0.000 1
Ti1 Ti 0.000 0.000 0.000 1
Be1 Be 0.000 0.000 0.500 1
H1 H 0.500 0.500 0.500 1
```

As for the total energy: -10.879 eV/cell. The total magnetic moment comes out at 3.99 Bohr magnetons per cell. The volume comes out at 43.4 A^3/atom. The calculation puts the density at 2.48 g/cm3.

(10)
A relaxed structure of NaZn4Bi, computed with GGA-PBE.

```
data_NaZn4Bi
_symmetry_space_group_name_H-M 'F -4 3 m'
_symmetry_Int_Tables_number 216
_symmetry_space_group_name_Hall 'F -4 2 3'
_cell_length_a 7.805
_cell_length_b 7.805
_cell_length_c 7.805
_cell_angle_alpha 90.00
_cell_angle_beta 90.00
_cell_angle_gamma 90.00
loop_
_atom_site_label
_atom_site_type_symbol
_atom_site_fract_x
_atom_site_fract_y
_atom_site_fract_z
_atom_site_occupancy
Na1 Na 0.000 0.000 0.000 1
Zn1 Zn 0.126 0.126 0.626 1
Bi1 Bi 0.250 0.250 0.250 1
```

As for the total energy: -41.353 eV/cell. The total magnetic moment comes out at 0.00 Bohr magnetons per cell. The volume comes out at 19.8 A^3/atom. The calculation puts the density at 6.89 g/cm3.

(11)
A relaxed structure of PIO2, computed with GGA-PBE.

```
data_PIO2
_symmetry_space_group_name_H-M 'P 1 m 1'
_symmetry_Int_Tables_number 6
_symmetry_space_group_name_Hall 'P -2y'
_cell_length_a 5.533
_cell_length_b 3.838
_cell_length_c 5.541
_cell_angle_alpha 90.00
_cell_angle_beta 110.23
_cell_angle_gamma 90.00
loop_
_atom_site_label
_atom_site_type_symbol
_atom_site_fract_x
_atom_site_fract_y
_atom_site_fract_z
_atom_site_occupancy
P1 P 0.000 0.000 0.000 1
I1 I 0.791 0.500 0.188 1
O1 O 0.278 0.000 0.154 1
O2 O 0.863 0.000 0.719 1
```

The total magnetic moment comes out at 0.00 Bohr magnetons per cell. The volume comes out at 27.6 A^3/atom. The calculation puts the excess energy over the best structure of this formula in the dataset at 229.5 meV/atom. For the uncorrected formation energy, the calculation gives -1035 meV/atom. The calculation puts the density at 2.86 g/cm3.

(12)
A relaxed structure of TbPuGe2, computed with GGA-PBE.

```
data_TbPuGe2
_symmetry_space_group_name_H-M 'F m -3 m'
_symmetry_Int_Tables_number 225
_symmetry_space_group_name_Hall '-F 4 2 3'
_cell_length_a 7.138
_cell_length_b 7.138
_cell_length_c 7.138
_cell_angle_alpha 90.00
_cell_angle_beta 90.00
_cell_angle_gamma 90.00
loop_
_atom_site_label
_atom_site_type_symbol
_atom_site_fract_x
_atom_site_fract_y
_atom_site_fract_z
_atom_site_occupancy
Tb1 Tb 0.000 0.000 0.000 1
Pu1 Pu 0.000 0.000 0.500 1
Ge1 Ge 0.250 0.250 0.250 1
```

The total magnetic moment comes out at 23.18 Bohr magnetons per cell. The volume comes out at 22.7 A^3/atom. The calculation puts the excess energy over the best structure of this formula in the dataset at 136.6 meV/atom. The calculation puts the density at 10.01 g/cm3.